No. 1
# Li2Ca5N4 | Alexandria | GGA-PBEsol | relaxed
# ΔE_f (raw) (eV/atom): -0.74
# Space group: P4/ncc
data_Li2Ca5N4
_space_group_name_H-M_alt 'P 1'
_space_group_IT_number 1
_cell_length_a 7.8335
_cell_length_b 7.8335
_cell_length_c 12.8798
_cell_angle_alpha 90.00
_cell_angle_beta 90.00
_cell_angle_gamma 90.00
loop_
_space_group_symop_operation_xyz
'x,y,z'
loop_
_atom_site_label
_atom_site_fract_x
_atom_site_fract_y
_atom_site_fract_z
Li1 0.0975 0.5975 0.2500
Li2 0.0975 0.9025 0.7500
Li3 0.4025 0.5975 0.7500
Li4 0.4025 0.9025 0.2500
Li5 0.5975 0.0975 0.7500
Li6 0.5975 0.4025 0.2500
Li7 0.9025 0.0975 0.2500
Li8 0.9025 0.4025 0.7500
Ca1 0.0772 0.6334 0.5847
Ca2 0.0772 0.8666 0.0847
Ca3 0.1334 0.5772 0.9153
Ca4 0.1334 0.9228 0.4153
Ca5 0.2500 0.2500 0.1258
Ca6 0.2500 0.2500 0.6258
Ca7 0.3666 0.5772 0.4153
Ca8 0.3666 0.9228 0.9153
Ca9 0.4228 0.6334 0.0847
Ca10 0.4228 0.8666 0.5847
Ca11 0.5772 0.1334 0.4153
Ca12 0.5772 0.3666 0.9153
Ca13 0.6334 0.0772 0.0847
Ca14 0.6334 0.4228 0.5847
Ca15 0.7500 0.7500 0.3742
Ca16 0.7500 0.7500 0.8742
Ca17 0.8666 0.0772 0.5847
Ca18 0.8666 0.4228 0.0847
Ca19 0.9228 0.1334 0.9153
Ca20 0.9228 0.3666 0.4153
N1 0.0531 0.6357 0.3944
N2 0.0531 0.8643 0.8944
N3 0.1357 0.5531 0.1056
N4 0.1357 0.9469 0.6056
N5 0.3643 0.5531 0.6056
N6 0.3643 0.9469 0.1056
N7 0.4469 0.6357 0.8944
N8 0.4469 0.8643 0.3944
N9 0.5531 0.1357 0.6056
N10 0.5531 0.3643 0.1056
N11 0.6357 0.0531 0.8944
N12 0.6357 0.4469 0.3944
N13 0.8643 0.0531 0.3944
N14 0.8643 0.4469 0.8944
N15 0.9469 0.1357 0.1056
N16 0.9469 0.3643 0.6056

***

No. 2
# LiCaN | Alexandria | GGA-PBEsol | relaxed
# ΔE_f (raw) (eV/atom): -0.74
# Space group: Pnma
data_LiCaN
_space_group_name_H-M_alt 'P 1'
_space_group_IT_number 1
_cell_length_a 8.4128
_cell_length_b 3.6232
_cell_length_c 5.4859
_cell_angle_alpha 90.00
_cell_angle_beta 90.00
_cell_angle_gamma 90.00
loop_
_space_group_symop_operation_xyz
'x,y,z'
loop_
_atom_site_label
_atom_site_fract_x
_atom_site_fract_y
_atom_site_fract_z
Li1 0.0483 0.2500 0.0740
Li2 0.4517 0.7500 0.5740
Li3 0.5483 0.2500 0.4260
Li4 0.9517 0.7500 0.9260
Ca1 0.1562 0.2500 0.5270
Ca2 0.3438 0.7500 0.0270
Ca3 0.6562 0.2500 0.9730
Ca4 0.8438 0.7500 0.4730
N1 0.0930 0.7500 0.2409
N2 0.4070 0.2500 0.7409
N3 0.5930 0.7500 0.2591
N4 0.9070 0.2500 0.7591

***

No. 3
# LiCaPt2N | Alexandria | GGA-PBEsol | relaxed
# ΔE_f (raw) (eV/atom): -0.22
# Space group: P4/mmm
data_LiCaPt2N
_space_group_name_H-M_alt 'P 1'
_space_group_IT_number 1
_cell_length_a 4.1373
_cell_length_b 4.1373
_cell_length_c 4.5379
_cell_angle_alpha 90.00
_cell_angle_beta 90.00
_cell_angle_gamma 90.00
loop_
_space_group_symop_operation_xyz
'x,y,z'
loop_
_atom_site_label
_atom_site_fract_x
_atom_site_fract_y
_atom_site_fract_z
Li1 0.0000 0.0000 0.0000
Ca1 0.5000 0.5000 0.0000
Pt1 0.0000 0.5000 0.5000
Pt2 0.5000 0.0000 0.5000
N1 0.5000 0.5000 0.5000

***

Question: Number 2 is which compound?
Answer: LiCaN